Here is Sc7As3 after structural relaxation from Alexandria. Energies are from PBEsol.

Unit cell a=10.823 b=10.823 c=10.823 alpha=97.78 beta=97.78 gamma=136.83
Element x y z (fractional)
Sc: 0.020 0.672 0.691
Sc: 0.029 0.865 0.500
Sc: 0.119 0.125 0.244
Sc: 0.125 0.881 0.006
Sc: 0.135 0.635 0.164
Sc: 0.172 0.520 0.691
Sc: 0.250 0.250 0.000
Sc: 0.250 0.750 0.500
Sc: 0.328 0.020 0.348
Sc: 0.365 0.529 0.500
Sc: 0.375 0.381 0.756
Sc: 0.381 0.625 0.006
Sc: 0.471 0.971 0.836
Sc: 0.480 0.172 0.652
Sc: 0.520 0.828 0.348
Sc: 0.529 0.029 0.164
Sc: 0.619 0.375 0.994
Sc: 0.625 0.619 0.244
Sc: 0.635 0.471 0.500
Sc: 0.672 0.980 0.652
Sc: 0.750 0.250 0.500
Sc: 0.750 0.750 0.000
Sc: 0.828 0.480 0.309
Sc: 0.865 0.365 0.836
Sc: 0.875 0.119 0.994
Sc: 0.881 0.875 0.756
Sc: 0.971 0.135 0.500
Sc: 0.980 0.328 0.309
As: 0.055 0.250 0.805
As: 0.220 0.720 0.941
As: 0.250 0.055 0.805
As: 0.250 0.445 0.195
As: 0.280 0.220 0.500
As: 0.445 0.250 0.195
As: 0.555 0.750 0.805
As: 0.720 0.780 0.500
As: 0.750 0.555 0.805
As: 0.750 0.945 0.195
As: 0.780 0.280 0.059
As: 0.945 0.750 0.195

D(E_F) = 39.1 states/eV per cell
Calculated formation energy = -929 meV/atom
DFT total energy = -7.085 eV/atom
Space-group type = I4/mcm